No. 1
3
Lattice="4.655 0.000 0.000 -2.328 4.032 0.000 0.000 0.000 3.399" Properties=species:S:1:pos:R:3 comment="YAgPd | Alexandria | PBE-GGA | relaxed" e_form_kj_per_mol_atoms=-48 space_group="P-6m2 (187)" pbc="T T T"
Y 0.000 0.000 0.000
Ag 0.000 2.688 1.699
Pd 2.328 1.344 1.699

***

No. 2
6
Lattice="4.403 0.000 0.000 0.000 3.454 0.000 0.000 0.000 8.597" Properties=species:S:1:pos:R:3 comment="YAgPd | Alexandria | PBE-GGA | relaxed" e_form_kj_per_mol_atoms=-53 space_group="Pmma (51)" pbc="T T T"
Y 1.101 0.000 1.817
Y 3.302 0.000 6.780
Ag 1.101 1.727 5.080
Ag 3.302 1.727 3.517
Pd 1.101 1.727 7.796
Pd 3.302 1.727 0.802

***

No. 3
8
Lattice="5.794 0.000 0.000 0.000 9.239 0.000 -2.836 0.000 2.901" Properties=species:S:1:pos:R:3 comment="YAg2Pd | Alexandria | PBE-GGA | relaxed" e_form_kj_per_mol_atoms=-45 space_group="C2/m (12)" pbc="T T T"
Y 0.000 0.000 0.000
Y 2.897 4.619 0.000
Ag -1.418 2.324 1.450
Ag -1.418 6.914 1.450
Ag 1.479 2.295 1.450
Ag 1.479 6.944 1.450
Pd 0.000 4.619 0.000
Pd 2.897 0.000 0.000

***

No. 4
12
Lattice="4.617 0.000 0.000 0.000 9.558 0.000 0.000 0.000 5.681" Properties=species:S:1:pos:R:3 comment="YAgPd | Alexandria | PBE-GGA | relaxed" e_form_kj_per_mol_atoms=-60 space_group="Cmcm (63)" pbc="T T T"
Y 0.000 1.868 1.420
Y 0.000 7.690 4.261
Y 2.309 2.911 4.261
Y 2.309 6.647 1.420
Ag 0.000 4.779 0.000
Ag 0.000 4.779 2.840
Ag 2.309 0.000 0.000
Ag 2.309 0.000 2.840
Pd 0.000 1.082 4.261
Pd 0.000 8.476 1.420
Pd 2.309 3.697 1.420
Pd 2.309 5.861 4.261

***

No. 5
11
Lattice="8.912 -2.563 0.000 8.912 2.563 0.000 -1.914 0.000 6.604" Properties=species:S:1:pos:R:3 comment="Y8AgPd2 | Alexandria | PBE-GGA | relaxed" e_form_kj_per_mol_atoms=-35 space_group="C2/m (12)" pbc="T T T"
Y 0.067 0.000 1.833
Y 1.999 0.000 5.474
Y 4.861 0.000 3.419
Y 7.192 0.000 0.227
Y 8.718 0.000 6.377
Y 11.049 0.000 3.185
Y 13.911 0.000 1.130
Y 15.843 0.000 4.771
Ag 7.955 0.000 3.302
Pd 2.849 0.000 1.492
Pd 13.061 0.000 5.112

***

No. 6
10
Lattice="7.785 0.000 0.000 0.000 7.785 0.000 0.000 0.000 4.025" Properties=species:S:1:pos:R:3 comment="Y2Ag2Pd | Alexandria | PBE-GGA | relaxed" e_form_kj_per_mol_atoms=-17 space_group="P4/mbm (127)" pbc="T T T"
Y 1.317 2.576 0.000
Y 2.576 6.468 0.000
Y 5.209 1.317 0.000
Y 6.468 5.209 0.000
Ag 1.008 4.901 2.012
Ag 2.884 1.008 2.012
Ag 4.901 6.776 2.012
Ag 6.776 2.884 2.012
Pd 0.000 0.000 0.000
Pd 3.892 3.892 0.000

***

No. 7
10
Lattice="-2.610 2.610 9.291 2.610 -2.610 9.291 2.610 2.610 -9.291" Properties=species:S:1:pos:R:3 comment="YAg3Pd | Alexandria | PBE-GGA | relaxed" e_form_kj_per_mol_atoms=5 space_group="I-4m2 (119)" pbc="T T T"
Y 0.000 0.000 3.563
Y 0.000 0.000 15.019
Ag 1.314 2.610 -2.306
Ag 1.295 0.000 6.986
Ag 2.610 1.314 2.306
Ag 0.000 2.610 1.341
Ag 0.000 1.295 11.597
Ag 0.000 2.610 7.950
Pd 2.610 0.000 4.646
Pd 0.000 0.000 9.291

***

No. 8
11
Lattice="4.273 -6.707 0.000 4.273 6.707 0.000 -1.539 0.000 5.411" Properties=species:S:1:pos:R:3 comment="Y8AgPd2 | Alexandria | PBE-GGA | relaxed" e_form_kj_per_mol_atoms=-25 space_group="Cm (8)" pbc="T T T"
Y 0.000 0.000 0.000
Y 0.574 1.675 3.216
Y 2.964 3.154 1.014
Y 0.574 -1.675 3.216
Y 3.812 1.675 4.224
Y 2.964 -3.154 1.014
Y 3.812 -1.675 4.224
Y 5.923 0.000 2.029
Ag 2.957 0.000 1.032
Pd 2.193 4.067 3.719
Pd 2.193 -4.067 3.719